Entry 1:
VASP calculation (PBE) on a relaxed DyNp2S4 crystal.

Properties
E   -8.28 eV per atom
Total magnetic moment   1.24 μB/atom
DOS(E_F)   2.38 states/eV/atom
ΔE_f (raw)   -151 kJ/mol of atoms

```
14
Lattice="3.809 0.000 0.000 -1.904 6.482 0.000 0.000 0.000 13.102" Properties=species:S:1:pos:R:3 pbc="T T T"
Np 0.000 1.730 5.656
S 1.904 3.598 4.914
Np 1.904 4.752 7.445
S 0.000 2.884 8.188
S 1.904 0.000 0.000
S 1.904 6.088 9.826
Np 0.000 1.730 0.895
Np 1.904 4.752 12.207
Dy 1.904 1.579 9.826
Dy 0.000 4.903 3.275
S 0.000 2.884 11.465
S 1.904 0.000 6.551
S 1.904 3.598 1.637
S 0.000 0.394 3.275
```



Entry 2:
VASP calculation (PBE) on a relaxed PaInSi2 crystal.

Properties
E   -5.76 eV per atom
Total magnetic moment   0.00 μB/atom
DOS(E_F)   0.90 states/eV/atom
ΔE_f (raw)   1 kJ/mol of atoms

```
4
Lattice="-0.627 3.058 3.316 -1.818 -1.288 3.971 3.347 -0.307 4.043" Properties=species:S:1:pos:R:3 pbc="T T T"
Si 0.929 1.042 8.595
Si -0.027 0.420 2.734
Pa 0.451 0.731 5.665
In 0.000 0.000 0.000
```



Entry 3:
VASP calculation (PBE) on a relaxed CaSnP2 crystal.

Properties
E   -4.68 eV per atom
Total magnetic moment   0.00 μB/atom
Formation enthalpy at 0 K   -477 meV/atom
DOS(E_F)   0.00 states/eV/atom

```
8
Lattice="6.836 0.000 0.000 0.000 6.836 0.000 3.418 3.418 4.696" Properties=species:S:1:pos:R:3 pbc="T T T"
P 5.405 1.709 1.174
P 1.431 5.127 1.174
Sn 6.836 3.418 2.348
Ca 3.418 6.836 2.348
P 8.545 8.823 3.522
Sn 0.000 0.000 0.000
Ca 3.418 3.418 0.000
P 5.127 4.849 3.522
```



The lowest DOS(E_F) belongs to which entry? CaSnP2